{"formula": "Zr2GaNiO", "functional": "GGA+U", "state": "optimized geometry", "dos_ef_per_ev_atom": 0.70, "final_energy_ev_per_atom": -5.5731, "magmom_total_mub_per_atom": 0.000, "spacegroup": "P4/mmm, No. 123", "lattice_angstrom": [[5.064, 0.000, 0.000], [0.000, 5.064, 0.000], [0.000, 0.000, 3.412]], "species": ["Zr", "Zr", "Ga", "Ni", "O"], "fractional_positions": [[0.000, 0.500, 0.000], [0.500, 0.000, 0.000], [0.000, 0.000, 0.500], [0.500, 0.500, 0.000], [0.500, 0.500, 0.500]]}